No. 1
CsCaCl3: optimized geometry, GGA-PBE.

## Properties
The total energy is -3.85 eV/atom. The magnetic moment is 0.000 Bohr magnetons per cell. The density comes out at 2.41 g/cm3. As for the space group: P6_3/mmc (194). The formation energy from raw total energies is -2.166 eV per atom.

```
10
Lattice="-2.311 4.177 1.254 -2.019 -4.365 1.107 8.751 0.022 16.051" Properties=species:S:1:pos:R:3 pbc="T T T"
Cs 0.000 0.000 0.000
Cs 4.375 0.011 8.026
Ca 4.447 -1.501 13.194
Ca -0.026 1.335 5.218
Cl 2.188 0.005 4.013
Cl 6.563 0.016 12.038
Cl 5.699 -1.498 15.491
Cl 3.195 -1.505 10.898
Cl 1.226 1.338 7.514
Cl -1.278 1.332 2.921
```

No. 2
CsCaCl3: optimized geometry, GGA-PBE.

## Properties
The total energy is -3.64 eV/atom. The magnetic moment is 0.000 Bohr magnetons per cell. The density comes out at 2.51 g/cm3. As for the space group: I-4m2 (119). The formation energy from raw total energies is -1.962 eV per atom.

```
10
Lattice="6.502 0.000 0.000 0.000 6.502 0.000 3.251 3.251 8.728" Properties=species:S:1:pos:R:3 pbc="T T T"
Cs 6.502 3.251 6.322
Cs 6.502 3.251 2.406
Ca 0.000 0.000 0.000
Ca 3.251 6.502 4.364
Cl 4.792 6.502 1.896
Cl 3.251 4.961 6.832
Cl 3.251 8.043 6.832
Cl 1.710 6.502 1.896
Cl 3.251 3.251 3.689
Cl 6.502 6.502 5.039
```

No. 3
Cs2CaCl7: optimized geometry, GGA-PBE.

## Properties
The total energy is -3.00 eV/atom. The magnetic moment is 1.000 Bohr magnetons per cell. The density comes out at 2.66 g/cm3. As for the space group: I4/mmm (139). The formation energy from raw total energies is -1.334 eV per atom.

```
10
Lattice="-3.826 1.497 6.213 4.363 -4.680 3.814 4.182 3.100 6.293" Properties=species:S:1:pos:R:3 pbc="T T T"
Cs 0.313 1.503 8.760
Cs 4.407 -1.586 7.560
Ca 0.000 0.000 0.000
Cl 0.269 -1.591 5.014
Cl 2.523 1.111 5.751
Cl 2.196 -1.194 10.570
Cl 0.141 -0.835 2.630
Cl 0.396 -2.348 7.397
Cl -1.678 -0.123 5.584
Cl 2.215 -3.060 4.443
```

No. 4
CsCa6Cl12: optimized geometry, GGA-PBE.

## Properties
The total energy is -4.06 eV/atom. The magnetic moment is 0.003 Bohr magnetons per cell. The density comes out at 2.45 g/cm3. As for the space group: R-3 (148). The formation energy from raw total energies is -2.213 eV per atom.

```
19
Lattice="8.266 0.165 -2.704 -3.775 7.355 -2.704 0.099 0.165 8.696" Properties=species:S:1:pos:R:3 pbc="T T T"
Cs 0.000 0.000 0.000
Ca 0.665 2.139 4.039
Ca 4.621 3.115 3.958
Ca 0.261 6.086 3.103
Ca 3.925 5.546 -0.751
Ca -0.032 4.570 -0.670
Ca 4.329 1.600 0.186
Cl 2.903 1.374 2.566
Cl -0.385 3.613 1.923
Cl 2.376 3.207 -0.984
Cl 1.687 6.311 0.722
Cl 4.975 4.072 1.365
Cl 2.214 4.478 4.272
Cl -2.319 7.154 2.733
Cl -0.378 6.334 -2.838
Cl -0.835 2.671 6.363
Cl 6.909 0.532 0.555
Cl 4.968 1.351 6.126
Cl 5.425 5.014 -3.075
```